A relaxed CoAgSe2N crystal, computed with PBE.

Output
Energy above the lowest structure with this stoichiometry (meV/atom): 0.0
Crystal system: tetragonal

abc: 5.0512 5.0512 3.3496
angles: 90.00 90.00 90.00
Last column: nearest neighbours and their distance in Å.
Positions (direct):
Co: 0.0000 0.0000 0.0000  2 N 1.67
Ag: 0.5000 0.5000 0.5000  8 Se 3.03, 2 Ag 3.35
Se: 0.0000 0.5000 0.0000  2 Co 2.53
Se: 0.5000 0.0000 0.0000  2 Co 2.53
N: 0.0000 0.0000 0.5000  2 Co 1.67

***

A relaxed CoAgSe2N crystal, computed with PBE.

Output
Energy above the lowest structure with this stoichiometry (meV/atom): 1212.7
Crystal system: tetragonal

abc: 5.1802 5.1802 3.8436
angles: 90.00 90.00 90.00
Last column: nearest neighbours and their distance in Å.
Positions (direct):
Co: 0.0000 0.0000 0.0000  8 Se 3.23
Ag: 0.5000 0.5000 0.5000  2 N 1.92
Se: 0.0000 0.5000 0.5000  2 Ag 2.59
Se: 0.5000 0.0000 0.5000  2 Ag 2.59
N: 0.5000 0.5000 0.0000  2 Ag 1.92

***

A relaxed Sr2CoAgN crystal, computed with PBE.

Output
Crystal system: tetragonal
Final energy (eV per atom): -4.74

abc: 5.4789 5.4789 3.5694
angles: 90.00 90.00 90.00
Last column: nearest neighbours and their distance in Å.
Positions (direct):
Sr: 0.0000 0.5000 0.0000  2 N 2.74
Sr: 0.5000 0.0000 0.0000  2 N 2.74
Co: 0.0000 0.0000 0.5000  2 N 1.78
Ag: 0.5000 0.5000 0.5000  8 Sr 3.27, 2 Ag 3.57
N: 0.0000 0.0000 0.0000  2 Co 1.78

***

A relaxed Ta2CoAgN crystal, computed with PBE.

Output
Crystal system: tetragonal
Final energy (eV per atom): -8.28

abc: 4.1563 4.1563 4.2879
angles: 90.00 90.00 90.00
Last column: nearest neighbours and their distance in Å.
Positions (direct):
Ta: 0.0000 0.5000 0.0000  2 N 2.08
Ta: 0.5000 0.0000 0.0000  2 N 2.08
Co: 0.0000 0.0000 0.5000  4 Ag 2.94, 8 Ta 2.99
Ag: 0.5000 0.5000 0.5000  2 N 2.14
N: 0.5000 0.5000 0.0000  4 Ta 2.08, 2 Ag 2.14

***

A relaxed YCoAg2N crystal, computed with PBE.

Output
Crystal system: tetragonal
Final energy (eV per atom): -4.26

abc: 4.7001 4.7001 5.0210
angles: 90.00 90.00 90.00
Last column: nearest neighbours and their distance in Å.
Positions (direct):
Y: 0.0000 0.0000 0.0000  2 Co 2.51
Co: 0.0000 0.0000 0.5000  4 Ag 2.35, 2 Y 2.51
Ag: 0.0000 0.5000 0.5000  2 Co 2.35
Ag: 0.5000 0.0000 0.5000  2 Co 2.35
N: 0.5000 0.5000 0.0000  4 Y 3.32, 8 Ag 3.44

***

A relaxed Y2CoAgN crystal, computed with PBE.

Output
Crystal system: tetragonal
Final energy (eV per atom): -6.93

abc: 4.9581 4.9581 3.6526
angles: 90.00 90.00 90.00
Last column: nearest neighbours and their distance in Å.
Positions (direct):
Y: 0.0000 0.5000 0.0000  2 N 2.48
Y: 0.5000 0.0000 0.0000  2 N 2.48
Co: 0.0000 0.0000 0.5000  2 N 1.83
Ag: 0.5000 0.5000 0.5000  8 Y 3.08
N: 0.0000 0.0000 0.0000  2 Co 1.83

***

A relaxed ZnCo2AgN crystal, computed with PBE.

Output
Crystal system: tetragonal
Final energy (eV per atom): -5.17

abc: 3.7126 3.7126 4.3443
angles: 90.00 90.00 90.00
Last column: nearest neighbours and their distance in Å.
Positions (direct):
Zn: 0.0000 0.0000 0.0000  2 N 2.17
Co: 0.0000 0.5000 0.5000  2 N 1.86
Co: 0.5000 0.0000 0.5000  2 N 1.86
Ag: 0.5000 0.5000 0.0000  4 Zn 2.63, 8 Co 2.86
N: 0.0000 0.0000 0.5000  4 Co 1.86

***

A relaxed NaCo3Ag crystal, computed with PBE.

Output
ΔH_f (0 K) (eV/atom): 1.4768
Energy above the lowest structure with this stoichiometry (meV/atom): 0.0
Crystal system: cubic

abc: 4.7797 4.7797 4.7797
angles: 90.00 90.00 90.00
Last column: nearest neighbours and their distance in Å.
Positions (direct):
Na: 0.0000 0.0000 0.0000  12 Co 3.38
Co: 0.0000 0.5000 0.5000  2 Ag 2.39
Co: 0.5000 0.0000 0.5000  2 Ag 2.39
Co: 0.5000 0.5000 0.0000  2 Ag 2.39
Ag: 0.5000 0.5000 0.5000  6 Co 2.39

***

A relaxed Na2CoAg crystal, computed with PBE.

Output
ΔH_f (0 K) (eV/atom): 0.6431
Energy above the lowest structure with this stoichiometry (meV/atom): 0.0
Crystal system: cubic

abc: 4.9543 4.9543 4.9543
angles: 60.00 60.00 60.00
Last column: nearest neighbours and their distance in Å.
Positions (direct):
Na: 0.2500 0.2500 0.2500  4 Co 3.03, 4 Ag 3.03
Na: 0.7500 0.7500 0.7500  4 Co 3.03, 4 Ag 3.03
Co: 0.0000 0.0000 0.0000  8 Na 3.03
Ag: 0.5000 0.5000 0.5000  8 Na 3.03

***

A relaxed Na2CoAg crystal, computed with PBE.

Output
ΔH_f (0 K) (eV/atom): 0.6888
Energy above the lowest structure with this stoichiometry (meV/atom): 45.7
Crystal system: tetragonal

abc: 6.2638 6.2638 6.2638
angles: 100.80 100.80 128.70
Last column: nearest neighbours and their distance in Å.
Positions (direct):
Na: 0.1207 0.1250 0.4957  2 Na 2.71, 2 Co 2.88, 2 Ag 2.93
Na: 0.3750 0.8793 0.0043  2 Na 2.71, 2 Co 2.88, 2 Ag 2.93
Na: 0.6293 0.6250 0.5043  2 Na 2.71, 2 Co 2.88, 2 Ag 2.93
Na: 0.8750 0.3707 0.9957  2 Na 2.71, 2 Co 2.88, 2 Ag 2.93
Co: 0.0000 0.0000 0.0000  2 Ag 2.71, 4 Na 2.88
Co: 0.7500 0.2500 0.5000  2 Ag 2.71, 4 Na 2.88
Ag: 0.2500 0.7500 0.5000  2 Co 2.71, 4 Na 2.93
Ag: 0.5000 0.5000 0.0000  2 Co 2.71, 4 Na 2.93

***

A relaxed NaCoAg3 crystal, computed with PBE.

Output
ΔH_f (0 K) (eV/atom): 1.2715
Energy above the lowest structure with this stoichiometry (meV/atom): 668.6
Crystal system: cubic

abc: 4.8201 4.8201 4.8201
angles: 90.00 90.00 90.00
Last column: nearest neighbours and their distance in Å.
Positions (direct):
Na: 0.0000 0.0000 0.0000  6 Ag 2.41
Co: 0.5000 0.5000 0.5000  12 Ag 3.41
Ag: 0.0000 0.0000 0.5000  2 Na 2.41
Ag: 0.0000 0.5000 0.0000  2 Na 2.41
Ag: 0.5000 0.0000 0.0000  2 Na 2.41

***

A relaxed Na2CoAg2 crystal, computed with PBE.

Output
ΔH_f (0 K) (eV/atom): 0.3762
Crystal system: tetragonal

abc: 6.7046 6.7046 4.7816
angles: 90.00 90.00 90.00
Last column: nearest neighbours and their distance in Å.
Positions (direct):
Na: 0.1737 0.3263 0.0000  6 Ag 2.95-3.21, 1 Na 3.29
Na: 0.3263 0.8263 0.0000  6 Ag 2.95-3.21, 1 Na 3.29
Na: 0.6737 0.1737 0.0000  6 Ag 2.95-3.21, 1 Na 3.29
Na: 0.8263 0.6737 0.0000  6 Ag 2.95-3.21, 1 Na 3.29
Co: 0.0000 0.0000 0.5000  4 Ag 2.57
Co: 0.5000 0.5000 0.5000  4 Ag 2.57
Ag: 0.1445 0.6445 0.5000  2 Co 2.57, 1 Ag 2.74
Ag: 0.3555 0.1445 0.5000  2 Co 2.57, 1 Ag 2.74
Ag: 0.6445 0.8555 0.5000  2 Co 2.57, 1 Ag 2.74
Ag: 0.8555 0.3555 0.5000  2 Co 2.57, 1 Ag 2.74

***

| no. | M_tot (μB/cell) |
| --- | --- |
| 1 | 0.0 |
| 2 | 2.9 |
| 3 | 0.0 |
| 4 | 1.2 |
| 5 | 2.1 |
| 6 | 0.5 |
| 7 | 0.5 |
| 8 | 6.0 |
| 9 | 1.9 |
| 10 | 3.5 |
| 11 | 1.8 |
| 12 | 3.0 |